First-principles (PBE-GGA) data for a relaxed structure of PmNdY2Tm, as listed in Alexandria via LeMat-Bulk.

Final energy = -4.99 eV/atom
Space-group type = Cmcm (63)
M_tot = 0.000 μB per formula unit
N(E_F) = 17.22 states/eV/cell
Calculated formation energy = 0.395 eV/atom

Cell: 7.1534 7.1534 7.2017 Å, 90.00 90.00 107.37°
With the nearest neighbours (Å) after each atom.
Sites, in units of the cell vectors:
1 Pm 0.0024 0.9976 0.7500  1 Nd 3.08, 4 Y 3.20, 1 Tm 3.22
2 Pm 0.9976 0.0024 0.2500  1 Nd 3.08, 4 Y 3.20, 1 Tm 3.22
3 Nd 0.2695 0.7305 0.7500  1 Pm 3.08
4 Nd 0.7305 0.2695 0.2500  1 Pm 3.08
5 Y 0.3125 0.3125 0.0000  1 Y 3.18, 2 Pm 3.20, 2 Tm 3.52
6 Y 0.3125 0.3125 0.5000  1 Y 3.18, 2 Pm 3.20, 2 Tm 3.52
7 Y 0.6875 0.6875 0.0000  1 Y 3.18, 2 Pm 3.20, 2 Tm 3.52
8 Y 0.6875 0.6875 0.5000  1 Y 3.18, 2 Pm 3.20, 2 Tm 3.52
9 Tm 0.2773 0.7227 0.2500  1 Pm 3.22, 4 Y 3.52, 2 Nd 3.60
10 Tm 0.7227 0.2773 0.7500  1 Pm 3.22, 4 Y 3.52, 2 Nd 3.60